Entry 1:
First-principles (PBE) data for an optimized crystal structure of K4CePr3Te8, as listed in Alexandria via LeMat-Bulk.

Cell lengths 9.3102, 9.3102, 24.7571 Å; angles 90.00, 90.00, 120.00 degrees
Space group R-3m (No. 166, hexagonal axes)
Symmetry-distinct sites (fractional):
1 K 0.0000 0.0000 0.0000 [3 per cell]
2 K 0.0000 0.5000 0.0000 [9 per cell]
3 Ce 0.0000 0.0000 0.5000 [3 per cell]
4 Pr 0.0000 0.5000 0.5000 [9 per cell]
5 Te 0.0000 0.0000 0.2387 [6 per cell]
6 Te 0.0005 0.5002 0.2384 [18 per cell]

Properties
ΔE_f (raw) = -1399 meV per atom



Entry 2:
First-principles (PBE) data for an optimized crystal structure of DyTm5In3, as listed in Alexandria via LeMat-Bulk.

Cell lengths 9.2300, 9.2300, 6.6625 Å; angles 90.00, 90.00, 120.00 degrees
Space group P6_3/mcm (No. 193)
Symmetry-distinct sites (fractional):
1 Dy 0.0000 0.0000 0.0000 [2 per cell]
2 Tm 0.0000 0.3333 0.2500 [6 per cell]
3 Tm 0.3333 0.6667 0.0000 [4 per cell]
4 In 0.0000 0.3345 0.7500 [6 per cell]

Properties
formation enthalpy at 0 K = -347 meV per atom



How do the records compare in raw total energy? In the order shown, they have -216.6, -76.6 eV per cell.
How do the records compare in M_tot? In the order shown, they have 0.064, 0.000 μB per atom.